Material: ScBeCr2
Method: DFT, SCAN
State: PBEsol geometry

Results
Crystal system: tetragonal
Volume in Å³/atom: 12.3
Density in Mg/m³: 5.312
VASP energy in eV per atom: -13.4252
Formation enthalpy at 0 K in eV/atom: 0.415

extended XYZ file:
```
4
Lattice="2.5022 0.0000 0.0000 0.0000 2.5022 0.0000 0.0000 0.0000 7.8865" Properties=species:S:1:pos:R:3 pbc="T T T"
Sc 0.0000 0.0000 0.0000
Be 0.0000 0.0000 3.9433
Cr 1.2511 1.2511 2.3196
Cr 1.2511 1.2511 5.5669
```